# ZrCrCuS4, optimized geometry, DFT PBE
# Uncorrected energy (eV for the cell shown): -178.8
# Energy above the most stable polymorph in this dataset (meV per atom): 125
# Total magnetization (Bohr magnetons per cell): 12.00
data_ZrCrCuS4
_chemical_formula_sum 'Zr4 Cr4 Cu4 S16'
_space_group_name_H-M_alt 'P n m a'
_space_group_IT_number 62
_cell_length_a 11.637
_cell_length_b 3.530
_cell_length_c 14.134
_cell_angle_alpha 90.00
_cell_angle_beta 90.00
_cell_angle_gamma 90.00
loop_
_space_group_symop_operation_xyz
'x,y,z'
'-x,-y,-z'
'-x+1/2,-y,z+1/2'
'x+1/2,y,-z+1/2'
'x+1/2,-y+1/2,-z+1/2'
'-x+1/2,y+1/2,z+1/2'
'-x,y+1/2,-z'
'x,-y+1/2,z'
loop_
_atom_site_label
_atom_site_fract_x
_atom_site_fract_y
_atom_site_fract_z
_atom_site_occupancy
Zr1 0.168 0.250 0.136 1
Cr1 0.111 0.250 0.549 1
Cu1 0.085 0.750 0.975 1
S1 0.005 0.750 0.127 1
S2 0.012 0.250 0.404 1
S3 0.206 0.250 0.706 1
S4 0.247 0.750 0.480 1